a:
AgGeNO (PBE-GGA, optimized geometry); SG = P4/nmm, No. 129
1.0
3.986 0.000 0.000
0.000 3.986 0.000
0.000 0.000 7.965
Ag Ge N O
2 2 2 2
Direct
0.250 0.750 0.000 Ag
0.750 0.250 0.000 Ag
0.250 0.250 0.389 Ge
0.750 0.750 0.611 Ge
0.250 0.250 0.916 N
0.750 0.750 0.084 N
0.250 0.750 0.500 O
0.750 0.250 0.500 O

***

b:
AgGeNO (PBE-GGA, optimized geometry); SG = P4/nmm, No. 129
1.0
4.587 0.000 0.000
0.000 4.587 0.000
0.000 0.000 4.480
Ag Ge N O
2 2 2 2
Direct
0.250 0.250 0.004 Ag
0.750 0.750 0.996 Ag
0.250 0.750 0.500 Ge
0.750 0.250 0.500 Ge
0.250 0.250 0.505 N
0.750 0.750 0.495 N
0.250 0.750 0.000 O
0.750 0.250 0.000 O

***

Stability verdict: b, ahead by 16.1 kJ/mol of atoms

***

a:
NbAgGe2 (PBE-GGA, optimized geometry); SG = P4/nmm, No. 129
1.0
3.799 0.000 0.000
0.000 3.799 0.000
0.000 0.000 9.508
Nb Ag Ge
2 2 4
Direct
0.250 0.250 0.214 Nb
0.750 0.750 0.786 Nb
0.250 0.750 0.500 Ag
0.750 0.250 0.500 Ag
0.250 0.250 0.712 Ge
0.250 0.750 0.000 Ge
0.750 0.250 0.000 Ge
0.750 0.750 0.288 Ge

***

b:
NbAgGe2 (PBE-GGA, optimized geometry); SG = F-43m, No. 216
1.0
6.617 0.000 0.000
0.000 6.617 0.000
0.000 0.000 6.617
Nb Ag Ge
4 4 8
Direct
0.000 0.000 0.000 Nb
0.000 0.500 0.500 Nb
0.500 0.000 0.500 Nb
0.500 0.500 0.000 Nb
0.250 0.250 0.250 Ag
0.250 0.750 0.750 Ag
0.750 0.250 0.750 Ag
0.750 0.750 0.250 Ag
0.000 0.000 0.500 Ge
0.000 0.500 0.000 Ge
0.250 0.250 0.750 Ge
0.250 0.750 0.250 Ge
0.500 0.000 0.000 Ge
0.500 0.500 0.500 Ge
0.750 0.250 0.250 Ge
0.750 0.750 0.750 Ge

***

Stability verdict: a, ahead by 54.2 kJ/mol of atoms

***

a:
AgGeSeO (PBE-GGA, optimized geometry); SG = P4/nmm, No. 129
1.0
4.036 0.000 0.000
0.000 4.036 0.000
0.000 0.000 8.805
Ag Ge Se O
2 2 2 2
Direct
0.250 0.250 0.240 Ag
0.750 0.750 0.760 Ag
0.250 0.750 0.000 Ge
0.750 0.250 0.000 Ge
0.250 0.250 0.691 Se
0.750 0.750 0.309 Se
0.250 0.250 0.499 O
0.750 0.750 0.501 O

***

b:
AgGeSeO (PBE-GGA, optimized geometry); SG = P2_12_12_1, No. 19
1.0
5.369 0.000 0.000
0.000 8.367 0.000
0.000 0.000 8.444
Ag Ge Se O
4 4 4 4
Direct
0.248 0.216 0.037 Ag
0.252 0.784 0.537 Ag
0.748 0.284 0.963 Ag
0.752 0.716 0.463 Ag
0.150 0.707 0.109 Ge
0.350 0.293 0.609 Ge
0.650 0.793 0.891 Ge
0.850 0.207 0.391 Ge
0.016 0.916 0.310 Se
0.484 0.084 0.810 Se
0.516 0.584 0.690 Se
0.984 0.416 0.190 Se
0.022 0.264 0.568 O
0.478 0.736 0.068 O
0.522 0.236 0.432 O
0.978 0.764 0.932 O

***

Stability verdict: b, ahead by 60.7 kJ/mol of atoms